No. 1
VASP calculation (GGA-PBEsol) on a geometry-optimized TcMo2Br structure.

energy above the lowest structure with this stoichiometry	240	meV per atom

abc: 4.5694 4.5694 2.9097
angles: 90.00 90.00 90.00
Space group P4/mmm (No. 123)
Symmetry-distinct sites (fractional):
Tc 0.0000 0.0000 0.0000 [1 per cell]
Mo 0.0000 0.5000 0.5000 [2 per cell]
Br 0.5000 0.5000 0.0000 [1 per cell]



No. 2
VASP calculation (GGA-PBEsol) on a geometry-optimized TcMo2Br structure.

energy above the lowest structure with this stoichiometry	216	meV per atom

abc: 9.6266 2.9787 4.4326
angles: 90.00 93.00 90.00
Space group Cm (No. 8)
Symmetry-distinct sites (fractional):
Tc 0.0000 0.0000 0.0000 [2 per cell]
Mo 0.2290 0.5000 0.1947 [2 per cell]
Mo 0.4501 0.0000 0.4412 [2 per cell]
Br 0.2207 0.0000 0.7042 [2 per cell]



No. 3
VASP calculation (GGA-PBEsol) on a geometry-optimized TcMo2Br structure.

energy above the lowest structure with this stoichiometry	0	meV per atom

abc: 2.8995 2.8995 25.7058
angles: 90.00 90.00 120.00
Space group R-3m (No. 166, hexagonal axes)
Symmetry-distinct sites (fractional):
Tc 0.0000 0.0000 0.0000 [3 per cell]
Mo 0.0000 0.0000 0.2515 [6 per cell]
Br 0.0000 0.0000 0.5000 [3 per cell]



No. 4
VASP calculation (GGA-PBEsol) on a geometry-optimized TcMoBr2 structure.

abc: 2.9699 4.3654 5.4792
angles: 90.00 90.00 90.00
Space group Pmmm (No. 47)
Symmetry-distinct sites (fractional):
Tc 0.0000 0.0000 0.0000 [1 per cell]
Mo 0.5000 0.0000 0.5000 [1 per cell]
Br 0.0000 0.5000 0.5000 [1 per cell]
Br 0.5000 0.5000 0.0000 [1 per cell]



No. 5
VASP calculation (GGA-PBEsol) on a geometry-optimized TeMo3Br structure.

abc: 4.6214 4.6214 4.6214
angles: 90.00 90.00 90.00
Space group Pm-3m (No. 221)
Symmetry-distinct sites (fractional):
Te 0.0000 0.0000 0.0000 [1 per cell]
Mo 0.0000 0.5000 0.5000 [3 per cell]
Br 0.5000 0.5000 0.5000 [1 per cell]



No. 6
VASP calculation (GGA-PBEsol) on a geometry-optimized Te3MoBr structure.

abc: 5.2151 5.2151 5.2151
angles: 90.00 90.00 90.00
Space group Pm-3m (No. 221)
Symmetry-distinct sites (fractional):
Te 0.0000 0.0000 0.5000 [3 per cell]
Mo 0.0000 0.0000 0.0000 [1 per cell]
Br 0.5000 0.5000 0.5000 [1 per cell]



Calculated uncorrected formation energy (eV per atom), listed in the same order as above: 0.68; 0.65; 0.44; 1.03; 1.55; 0.27